(1)
Computed, not measured: an optimized crystal structure of La8P3S3N at the PBE-GGA level of DFT.

Calculated values
- formation energy from raw total energies (eV/atom) = -1.672
- crystal system = trigonal
- total magnetic moment (μB per formula unit) = 1.42

Cell lengths 8.3670, 8.3670, 8.3063 Å; angles 120.24, 90.00, 120.00 degrees
With the nearest neighbours (Å) after each atom.
Sites, in units of the cell vectors:
1 P 0.0000 0.5000 0.0000  6 La 2.93-2.94
2 S 0.5000 0.0000 0.5000  6 La 2.96-2.98
3 La 0.2246 0.9975 0.2703  1 N 2.68, 2 P 2.94, 2 S 2.98
4 La 0.2487 0.4975 0.2462  3 P 2.93, 3 S 2.96
5 La 0.2272 0.4544 0.7297  1 N 2.68, 2 P 2.94, 2 S 2.98
6 N 0.0000 0.0000 0.5000  6 La 2.68
7 S 0.0000 0.5000 0.5000  6 La 2.96-2.98
8 La 0.7728 0.5456 0.2703  1 N 2.68, 2 P 2.94, 2 S 2.98
9 La 0.7728 0.9975 0.2703  1 N 2.68, 2 P 2.94, 2 S 2.98
10 La 0.7754 0.0025 0.7297  1 N 2.68, 2 P 2.94, 2 S 2.98
11 P 0.5000 0.5000 0.0000  6 La 2.93-2.94
12 La 0.7513 0.5025 0.7538  3 P 2.93, 3 S 2.96
13 S 0.5000 0.5000 0.5000  6 La 2.96-2.98
14 La 0.2272 0.0025 0.7297  1 N 2.68, 2 P 2.94, 2 S 2.98
15 P 0.0000 0.0000 0.0000  6 La 2.93-2.94



(2)
Computed, not measured: an optimized crystal structure of Pm5Dy2In at the PBE-GGA level of DFT.

Calculated values
- energy of formation from the pure elements (eV/atom) = -0.035
- crystal system = orthorhombic
- total magnetic moment (μB per formula unit) = 0.00

Cell lengths 3.4748, 11.2315, 8.7919 Å; angles 129.70, 101.42, 90.00 degrees
With the nearest neighbours (Å) after each atom.
Sites, in units of the cell vectors:
1 Pm 0.6295 0.3922 0.2596  1 Dy 3.24, 7 Pm 3.39-3.61
2 Dy 0.2672 0.7677 0.5353  3 Pm 3.24-3.50, 2 Dy 3.47, 2 In 3.50
3 Pm 0.0000 0.5000 0.0000  10 Pm 3.47-3.61, 2 Dy 3.50
4 Pm 0.3705 0.6078 0.7404  1 Dy 3.24, 7 Pm 3.39-3.61
5 Dy 0.7328 0.2323 0.4647  3 Pm 3.24-3.50, 2 Dy 3.47, 2 In 3.50
6 In 0.0000 0.0000 0.0000  2 In 3.47, 4 Dy 3.50, 8 Pm 3.82
7 Pm 0.6295 0.8674 0.2596  1 Dy 3.24, 7 Pm 3.39-3.61
8 Pm 0.3705 0.1326 0.7404  1 Dy 3.24, 7 Pm 3.39-3.61



(3)
Computed, not measured: an optimized crystal structure of ReNi2Pt5 at the PBE-GGA level of DFT.

Calculated values
- energy of formation from the pure elements (eV/atom) = 0.059
- crystal system = tetragonal
- total magnetic moment (μB per formula unit) = 0.00

Cell lengths 6.5533, 6.5533, 7.1925 Å; angles 117.10, 117.10, 90.00 degrees
With the nearest neighbours (Å) after each atom.
Sites, in units of the cell vectors:
1 Ni 0.8662 0.6338 0.0000  1 Ni 2.48, 8 Pt 2.55-2.58
2 Pt 0.0035 0.5035 0.6883  3 Ni 2.57-2.58, 1 Pt 2.67, 2 Re 2.67
3 Re 0.7500 0.7500 0.5000  10 Pt 2.67-2.75
4 Pt 0.5000 0.5000 0.0000  4 Ni 2.55, 2 Re 2.75
5 Pt 0.6848 0.1848 0.6883  3 Ni 2.57-2.58, 1 Pt 2.67, 2 Re 2.67
6 Pt 0.0000 0.0000 0.0000  4 Ni 2.55, 2 Re 2.75
7 Re 0.2500 0.2500 0.5000  10 Pt 2.67-2.75
8 Ni 0.3662 0.8662 0.0000  1 Ni 2.48, 8 Pt 2.55-2.58
9 Pt 0.4965 0.3152 0.3117  3 Ni 2.57-2.58, 1 Pt 2.67, 2 Re 2.67
10 Pt 0.1848 0.0035 0.6883  3 Ni 2.57-2.58, 1 Pt 2.67, 2 Re 2.67
11 Ni 0.6338 0.1338 0.0000  1 Ni 2.48, 8 Pt 2.55-2.58
12 Ni 0.1338 0.3662 0.0000  1 Ni 2.48, 8 Pt 2.55-2.58
13 Pt 0.5035 0.6848 0.6883  3 Ni 2.57-2.58, 1 Pt 2.67, 2 Re 2.67
14 Pt 0.8152 0.9965 0.3117  3 Ni 2.57-2.58, 1 Pt 2.67, 2 Re 2.67
15 Pt 0.3152 0.8152 0.3117  3 Ni 2.57-2.58, 1 Pt 2.67, 2 Re 2.67
16 Pt 0.9965 0.4965 0.3117  3 Ni 2.57-2.58, 1 Pt 2.67, 2 Re 2.67



(4)
Computed, not measured: an optimized crystal structure of NaBiPb2Se4 at the PBE-GGA level of DFT.

Calculated values
- formation energy from raw total energies (eV/atom) = -0.623
- crystal system = monoclinic
- total magnetic moment (μB per formula unit) = 0.00

Cell lengths 4.3178, 7.4644, 7.4297 Å; angles 108.69, 90.00, 90.00 degrees
With the nearest neighbours (Å) after each atom.
Sites, in units of the cell vectors:
1 Pb 0.5000 0.0000 0.5000  6 Se 3.08-3.09
2 Bi 0.0000 0.0000 0.0000  6 Se 2.97-3.00
3 Se 0.0000 0.2482 0.7578  1 Bi 2.97, 2 Na 3.04, 3 Pb 3.08
4 Pb 0.0000 0.5000 0.5000  6 Se 3.08-3.12
5 Se 0.0000 0.7518 0.2422  1 Bi 2.97, 2 Na 3.04, 3 Pb 3.08
6 Na 0.5000 0.5000 0.0000  6 Se 2.97-3.04
7 Se 0.5000 0.2454 0.2356  1 Na 2.97, 2 Bi 3.00, 3 Pb 3.09-3.12
8 Se 0.5000 0.7546 0.7644  1 Na 2.97, 2 Bi 3.00, 3 Pb 3.09-3.12



(5)
Computed, not measured: an optimized crystal structure of MnTl2Hg at the PBE-GGA level of DFT.

Calculated values
- E above lowest polymorph (meV/atom) = 76
- energy of formation from the pure elements (eV/atom) = 0.340
- crystal system = trigonal
- total magnetic moment (μB per formula unit) = 4.06

Cell lengths 9.9844, 9.9844, 9.9844 Å; angles 19.77, 19.77, 19.77 degrees
With the nearest neighbours (Å) after each atom.
Sites, in units of the cell vectors:
1 Tl 0.0075 0.0075 0.0075  3 Mn 2.98, 3 Hg 3.32
2 Mn 0.7500 0.7500 0.7500  6 Tl 2.98
3 Tl 0.4925 0.4925 0.4925  3 Mn 2.98, 3 Hg 3.32
4 Hg 0.2500 0.2500 0.2500  6 Tl 3.32, 6 Hg 3.43



(6)
Computed, not measured: an optimized crystal structure of NbInN2O at the PBE-GGA level of DFT.

Calculated values
- formation energy from raw total energies (eV/atom) = -0.339
- crystal system = tetragonal
- total magnetic moment (μB per formula unit) = 0.00

Cell lengths 4.2333, 4.2333, 3.9541 Å; angles 90.00, 90.00, 90.00 degrees
With the nearest neighbours (Å) after each atom.
Sites, in units of the cell vectors:
1 N 0.5000 0.0000 0.0000  2 Nb 2.12
2 In 0.5000 0.5000 0.5000  8 N 2.90, 4 O 2.99
3 N 0.0000 0.5000 0.0000  2 Nb 2.12
4 O 0.0000 0.0000 0.5000  2 Nb 1.98
5 Nb 0.0000 0.0000 0.0000  2 O 1.98, 4 N 2.12